1.
Below is MgAlZn at its PBEsol-relaxed geometry, with properties calculated at the meta-GGA SCAN level.

```
MgAlZn
1.0
0.0000 3.0594 3.0594
3.0594 0.0000 3.0594
3.0594 3.0594 0.0000
Mg Al Zn
1 1 1
direct
0.0000 0.0000 0.0000 Mg
0.5000 0.5000 0.5000 Al
0.7500 0.7500 0.7500 Zn
```

symmetry = F-43m
distance to the lowest polymorph of the same formula = 7.4 meV per atom
energy of formation = -4 kJ per mole of atoms
calculated volume = 19.091 Å³ per atom

***

2.
Below is MgAl2Zn at its PBEsol-relaxed geometry, with properties calculated at the meta-GGA SCAN level.

```
MgAl2Zn
1.0
2.9433 0.0000 0.0000
0.0000 3.9409 0.0000
0.0000 0.0000 5.8669
Mg Al Zn
1 2 1
direct
0.0000 0.0000 0.0000 Mg
0.0000 0.0000 0.4915 Al
0.5000 0.5000 0.7263 Al
0.5000 0.5000 0.2554 Zn
```

symmetry = Pmm2
energy of formation = -1 kJ per mole of atoms
calculated volume = 17.013 Å³ per atom

***

3.
Below is MgAl2Zn at its PBEsol-relaxed geometry, with properties calculated at the meta-GGA SCAN level.

```
MgAl2Zn
1.0
2.9733 0.0000 0.0000
0.0000 4.0298 0.0000
0.0000 0.0000 5.7329
Mg Al Zn
1 2 1
direct
0.0000 0.0000 0.0000 Mg
0.5000 0.5000 0.2632 Al
0.5000 0.5000 0.7368 Al
0.0000 0.0000 0.5000 Zn
```

symmetry = Pmmm
energy of formation = 3 kJ per mole of atoms
calculated volume = 17.172 Å³ per atom

***

4.
Below is MgAl2Zn at its PBEsol-relaxed geometry, with properties calculated at the meta-GGA SCAN level.

```
MgAl2Zn
1.0
2.8261 -4.1356 0.0000
2.8261 4.1356 0.0000
0.0000 0.0000 2.9213
Mg Al Zn
1 2 1
direct
0.0000 0.0000 0.0000 Mg
0.0000 0.5000 0.5000 Al
0.5000 0.0000 0.5000 Al
0.5000 0.5000 0.0000 Zn
```

symmetry = Cmmm
energy of formation = 2 kJ per mole of atoms
calculated volume = 17.071 Å³ per atom

***

5.
Below is MgAlZn at its PBEsol-relaxed geometry, with properties calculated at the meta-GGA SCAN level.

```
MgAlZn
1.0
4.4399 0.0000 0.0000
-2.2199 3.8450 0.0000
0.0000 0.0000 3.0704
Mg Al Zn
1 1 1
direct
0.0000 0.0000 0.0000 Mg
0.3333 0.6667 0.5000 Al
0.6667 0.3333 0.5000 Zn
```

symmetry = P-6m2
distance to the lowest polymorph of the same formula = 0.0 meV per atom
energy of formation = -5 kJ per mole of atoms
calculated volume = 17.472 Å³ per atom

***

6.
Below is MgAl3Zn at its PBEsol-relaxed geometry, with properties calculated at the meta-GGA SCAN level.

```
MgAl3Zn
1.0
4.7451 0.0000 0.0000
0.0000 4.7451 0.0000
0.0000 0.0000 4.7451
Mg Al Zn
1 3 1
direct
0.0000 0.0000 0.0000 Mg
0.0000 0.5000 0.5000 Al
0.5000 0.0000 0.5000 Al
0.5000 0.5000 0.0000 Al
0.5000 0.5000 0.5000 Zn
```

symmetry = Pm-3m
energy of formation = 41 kJ per mole of atoms
calculated volume = 21.368 Å³ per atom

***

7.
Below is MgAlZn4 at its PBEsol-relaxed geometry, with properties calculated at the meta-GGA SCAN level.

```
MgAlZn4
1.0
0.0000 3.6100 3.6100
3.6100 0.0000 3.6100
3.6100 3.6100 0.0000
Mg Al Zn
1 1 4
direct
0.0000 0.0000 0.0000 Mg
0.2500 0.2500 0.2500 Al
0.1246 0.6251 0.6251 Zn
0.6251 0.1246 0.6251 Zn
0.6251 0.6251 0.1246 Zn
0.6251 0.6251 0.6251 Zn
```

symmetry = F-43m
energy of formation = -6 kJ per mole of atoms
calculated volume = 15.681 Å³ per atom

***

8.
Below is Mg17Al11Zn at its PBEsol-relaxed geometry, with properties calculated at the meta-GGA SCAN level.

```
Mg17Al11Zn
1.0
5.2190 -7.3721 0.0000
5.2190 7.3721 0.0000
-5.2151 0.0000 7.3885
Mg Al Zn
17 11 1
direct
0.0000 0.0000 0.0000 Mg
0.0237 0.0237 0.6280 Mg
0.0282 0.6297 0.0275 Mg
0.0543 0.7420 0.7394 Mg
0.3422 0.3422 0.6887 Mg
0.3432 0.9443 0.6591 Mg
0.3443 0.6599 0.9440 Mg
0.3456 0.3456 0.3449 Mg
0.3457 0.6894 0.3446 Mg
0.6297 0.0282 0.0275 Mg
0.6599 0.3443 0.9440 Mg
0.6598 0.9432 0.3433 Mg
0.6894 0.3457 0.3446 Mg
0.7414 0.7414 0.0561 Mg
0.7420 0.0543 0.7394 Mg
0.9432 0.6598 0.3433 Mg
0.9443 0.3432 0.6591 Mg
0.1582 0.9762 0.3437 Al
0.1594 0.3444 0.9761 Al
0.1627 0.5305 0.5299 Al
0.3444 0.1594 0.9761 Al
0.3443 0.9769 0.1578 Al
0.5273 0.7111 0.7088 Al
0.5305 0.1627 0.5299 Al
0.5335 0.5335 0.1684 Al
0.7111 0.5273 0.7088 Al
0.9762 0.1582 0.3437 Al
0.9769 0.3443 0.1578 Al
0.7118 0.7118 0.5248 Zn
```

symmetry = Cm
energy of formation = -3 kJ per mole of atoms
calculated volume = 19.605 Å³ per atom

***

9.
Below is MgAlZn at its PBEsol-relaxed geometry, with properties calculated at the meta-GGA SCAN level.

```
MgAlZn
1.0
-1.4797 2.0137 4.3523
1.4797 -2.0137 4.3523
1.4797 2.0137 -4.3523
Mg Al Zn
1 1 1
direct
0.0000 0.0000 0.0000 Mg
0.3239 0.3239 0.0000 Al
0.6721 0.6721 0.0000 Zn
```

symmetry = Imm2
distance to the lowest polymorph of the same formula = 47.2 meV per atom
energy of formation = 0 kJ per mole of atoms
calculated volume = 17.291 Å³ per atom

***

10.
Below is MgAl2Zn at its PBEsol-relaxed geometry, with properties calculated at the meta-GGA SCAN level.

```
MgAl2Zn
1.0
-2.0046 2.0046 4.2450
2.0046 -2.0046 4.2450
2.0046 2.0046 -4.2450
Mg Al Zn
1 2 1
direct
0.0000 0.0000 0.0000 Mg
0.2500 0.7500 0.5000 Al
0.7500 0.2500 0.5000 Al
0.5000 0.5000 0.0000 Zn
```

symmetry = I4/mmm
energy of formation = 0 kJ per mole of atoms
calculated volume = 17.058 Å³ per atom

***

11.
Below is Mg4AlZn at its PBEsol-relaxed geometry, with properties calculated at the meta-GGA SCAN level.

```
Mg4AlZn
1.0
0.0000 3.9865 3.9865
3.9865 0.0000 3.9865
3.9865 3.9865 0.0000
Mg Al Zn
4 1 1
direct
0.1250 0.1250 0.1250 Mg
0.1250 0.1250 0.6249 Mg
0.1250 0.6249 0.1250 Mg
0.6249 0.1250 0.1250 Mg
0.5000 0.5000 0.5000 Al
0.7500 0.7500 0.7500 Zn
```

symmetry = F-43m
energy of formation = 25 kJ per mole of atoms
calculated volume = 21.119 Å³ per atom

***

12.
Below is MgAl2Zn at its PBEsol-relaxed geometry, with properties calculated at the meta-GGA SCAN level.

```
MgAl2Zn
1.0
4.7715 -1.4990 0.0000
4.7715 1.4990 0.0000
-0.9529 0.0000 4.7699
Mg Al Zn
1 2 1
direct
0.0000 0.0000 0.0000 Mg
0.2418 0.2418 0.7411 Al
0.7582 0.7582 0.2589 Al
0.5000 0.5000 0.5000 Zn
```

symmetry = C2/m
energy of formation = 1 kJ per mole of atoms
calculated volume = 17.058 Å³ per atom